# Sm2InRh

A relaxed Sm2InRh crystal (GGA-PBE, the Alexandria database).

Unit cell a=5.201 b=5.201 c=5.201 alpha=60.00 beta=60.00 gamma=60.00
Fractional coordinates of all 4 atoms:
1 Rh 0.500 0.500 0.500
2 Sm 0.250 0.250 0.250
3 Sm 0.750 0.750 0.750
4 In 0.000 0.000 0.000

Summary:
N(E_F)   3.6 states/eV/f.u.
Space-group type   Fm-3m, No. 225
Crystal system   cubic
Uncorrected energy   -21.4 eV/cell
Volume   99 Å³/cell
E above lowest polymorph   0.47 eV per formula unit